No. 1
Compound: DyAg2TeO4
Source: the Alexandria database
Functional: GGA-PBE
Structure: relaxed

Properties
Uncorrected formation energy ... -1.2876 eV/atom
Final energy ... -87.2 eV/cell
Space group ... No. 15

Geometry as POSCAR:
```
DyAg2TeO4
1.0
6.869 -0.999 -0.130
-1.004 6.869 -0.130
-3.016 -3.018 5.823
O Te Dy Ag
8 2 2 4
Direct
0.084 0.207 0.859
0.269 0.653 0.392
0.153 0.769 0.892
0.847 0.231 0.108
0.293 0.416 0.641
0.707 0.584 0.359
0.916 0.793 0.141
0.731 0.347 0.608
0.000 0.000 0.000
0.500 0.500 0.500
0.000 0.500 0.000
0.000 0.500 0.500
0.500 0.000 0.500
0.500 0.000 0.000
0.000 0.000 0.500
0.500 0.500 0.000
```

***

No. 2
Compound: Dy2AgTeO6
Source: the Alexandria database
Functional: GGA-PBE
Structure: relaxed

Properties
Uncorrected formation energy ... -2.0907 eV/atom
Final energy ... -65.9 eV/cell
Space group ... No. 146

Geometry as POSCAR:
```
Dy2AgTeO6
1.0
5.786 0.000 0.000
2.893 5.011 0.000
2.892 1.670 5.148
O Dy Ag Te
6 2 1 1
Direct
0.696 0.160 0.765
0.947 0.585 0.222
0.379 0.696 0.765
0.246 0.947 0.222
0.585 0.246 0.223
0.160 0.379 0.765
0.527 0.527 0.418
0.014 0.014 0.958
0.785 0.785 0.645
0.323 0.323 0.032
```

***

N(E_F) readings, ordered: 2.05; 4.30 states/eV/cell